No. 1
This record from Alexandria describes a geometry-optimized Ac4Te2Pb structure. The functional is PBE.

a = 4.6713 Å, b = 14.8258 Å, c = 16.3884 Å
α = 90.00°, β = 90.00°, γ = 90.00°
With the nearest neighbours (Å) after each atom.
Space group Cmcm (No. 63)
Unique sites:
1 Ac 0.0000 0.0000 0.0000 (multiplicity 4)  4 Te 3.34
2 Ac 0.0000 0.2898 0.1296 (multiplicity 8)  3 Te 3.30-3.35, 2 Pb 3.48
3 Ac 0.0000 0.4319 0.7500 (multiplicity 4)  2 Te 3.27, 2 Pb 3.39
4 Te 0.0000 0.3548 0.5628 (multiplicity 8)  6 Ac 3.27-3.35
5 Pb 0.0000 0.0978 0.7500 (multiplicity 4)  6 Ac 3.39-3.48

Summary:
electronic total energy: -132.68 eV per cell
density of states at the Fermi level: 21.710 states/eV per cell
formation energy without anion corrections: -0.9635 eV per atom

***

No. 2
This record from Alexandria describes a geometry-optimized SmRe4 structure. The functional is PBE.

a = 4.7348 Å, b = 4.7348 Å, c = 4.7348 Å
α = 90.00°, β = 90.00°, γ = 90.00°
With the nearest neighbours (Å) after each atom.
Space group Pm-3m (No. 221)
Unique sites:
1 Sm 0.0000 0.0000 0.0000 (multiplicity 1)  6 Re 2.37
2 Re 0.0000 0.0000 0.5000 (multiplicity 3)  2 Sm 2.37
3 Re 0.5000 0.5000 0.5000 (multiplicity 1)  12 Re 3.35

Summary:
electronic total energy: -36.57 eV per cell
density of states at the Fermi level: 5.150 states/eV per cell

***

No. 3
This record from Alexandria describes a geometry-optimized MnCoCu2 structure. The functional is PBE.

a = 5.0752 Å, b = 7.3960 Å, c = 2.5907 Å
α = 90.00°, β = 90.00°, γ = 90.00°
With the nearest neighbours (Å) after each atom.
Space group Cmmm (No. 65)
Unique sites:
1 Mn 0.0000 0.0000 0.0000 (multiplicity 2)  2 Co 2.54, 8 Cu 2.59, 2 Mn 2.59
2 Co 0.0000 0.5000 0.0000 (multiplicity 2)  2 Mn 2.54, 8 Cu 2.59, 2 Co 2.59
3 Cu 0.2500 0.2500 0.5000 (multiplicity 4)  4 Cu 2.54-2.59, 4 Mn 2.59, 4 Co 2.59

Summary:
electronic total energy: -47.70 eV per cell
density of states at the Fermi level: 5.656 states/eV per cell

***

No. 4
This record from Alexandria describes a geometry-optimized Tb12Tm3Th structure. The functional is PBE.

a = 5.0225 Å, b = 5.0225 Å, c = 20.0481 Å
α = 90.00°, β = 90.00°, γ = 90.00°
With the nearest neighbours (Å) after each atom.
Space group P4/mmm (No. 123)
Unique sites:
1 Tb 0.0000 0.0000 0.0000 (multiplicity 1)  8 Tb 3.55, 4 Tm 3.55
2 Tb 0.0000 0.0000 0.2478 (multiplicity 2)  8 Tb 3.52-3.59, 4 Tm 3.55
3 Tb 0.0000 0.0000 0.5000 (multiplicity 1)  8 Tb 3.54, 4 Th 3.55
4 Tb 0.0000 0.5000 0.1249 (multiplicity 4)  8 Tb 3.52-3.55, 4 Tm 3.54-3.55
5 Tb 0.0000 0.5000 0.3755 (multiplicity 4)  8 Tb 3.54-3.59, 2 Th 3.54, 2 Tm 3.56
6 Tm 0.5000 0.5000 0.0000 (multiplicity 1)  12 Tb 3.55
7 Tm 0.5000 0.5000 0.2496 (multiplicity 2)  12 Tb 3.54-3.56
8 Th 0.5000 0.5000 0.5000 (multiplicity 1)  12 Tb 3.54-3.55

Summary:
electronic total energy: -76.00 eV per cell
density of states at the Fermi level: 22.347 states/eV per cell

***

No. 5
This record from Alexandria describes a geometry-optimized RbAg2HgF6 structure. The functional is PBE.

a = 6.1242 Å, b = 6.1534 Å, c = 11.3797 Å
α = 90.00°, β = 121.57°, γ = 90.00°
With the nearest neighbours (Å) after each atom.
Space group P2_1/c (No. 14)
Unique sites:
1 Rb 0.0000 0.0000 0.0000 (multiplicity 2)  4 F 2.70-2.90
2 Ag 0.2730 0.0660 0.7676 (multiplicity 4)  4 F 2.21-2.33
3 Hg 0.5000 0.0000 0.5000 (multiplicity 2)  2 F 2.06
4 F 0.0502 0.1434 0.2703 (multiplicity 4)  2 Ag 2.21-2.26
5 F 0.4055 0.6921 0.1679 (multiplicity 4)  2 Ag 2.26-2.33
6 F 0.4352 0.1907 0.0450 (multiplicity 4)  1 Hg 2.06

Summary:
electronic total energy: -66.63 eV per cell
density of states at the Fermi level: 4.110 states/eV per cell
formation energy without anion corrections: -1.5116 eV per atom

***

No. 6
This record from Alexandria describes a geometry-optimized Ce2MgTl structure. The functional is PBE.

a = 6.4515 Å, b = 12.0148 Å, c = 5.2168 Å
α = 90.00°, β = 90.00°, γ = 90.00°
With the nearest neighbours (Å) after each atom.
Space group Cmcm (No. 63)
Unique sites:
1 Ce 0.2127 0.0597 0.2500 (multiplicity 8)  3 Ce 2.75-2.98
2 Mg 0.0000 0.1952 0.7500 (multiplicity 4)  4 Tl 3.06-3.24, 6 Ce 3.36-3.37
3 Tl 0.0000 0.3276 0.2500 (multiplicity 4)  4 Mg 3.06-3.24, 2 Ce 3.35

Summary:
electronic total energy: -65.88 eV per cell
density of states at the Fermi level: 31.342 states/eV per cell

***

No. 7
This record from Alexandria describes a geometry-optimized Nd6Ni2PdI3 structure. The functional is PBE.

a = 7.2652 Å, b = 12.5890 Å, c = 8.4296 Å
α = 90.00°, β = 106.71°, γ = 90.00°
With the nearest neighbours (Å) after each atom.
Space group C2/m (No. 12)
Unique sites:
1 Nd 0.2143 0.0000 0.1832 (multiplicity 4)  2 Ni 2.80, 1 Pd 2.92
2 Nd 0.2345 0.3267 0.1836 (multiplicity 8)  2 Ni 2.80, 1 Pd 2.92
3 Ni 0.0000 0.1667 0.0000 (multiplicity 4)  6 Nd 2.80
4 Pd 0.0000 0.5000 0.0000 (multiplicity 2)  6 Nd 2.92
5 I 0.0000 0.0000 0.5000 (multiplicity 2)  6 Nd 3.46-3.55
6 I 0.0000 0.3337 0.5000 (multiplicity 4)  6 Nd 3.46-3.56

Summary:
electronic total energy: -117.69 eV per cell
density of states at the Fermi level: 15.145 states/eV per cell
formation energy without anion corrections: -0.7361 eV per atom

***

No. 8
This record from Alexandria describes a geometry-optimized DyThIrSe structure. The functional is PBE.

a = 4.0350 Å, b = 4.0350 Å, c = 22.1587 Å
α = 90.00°, β = 90.00°, γ = 120.00°
With the nearest neighbours (Å) after each atom.
Space group R3m (No. 160, hexagonal axes)
Unique sites:
1 Dy 0.0000 0.0000 0.0000 (multiplicity 3)  3 Ir 2.84, 3 Se 3.05
2 Th 0.0000 0.0000 0.1886 (multiplicity 3)  3 Ir 2.82
3 Ir 0.0000 0.0000 0.5934 (multiplicity 3)  3 Th 2.82, 3 Dy 2.84
4 Se 0.0000 0.0000 0.4222 (multiplicity 3)  3 Dy 3.05, 3 Th 3.21

Summary:
electronic total energy: -88.00 eV per cell
density of states at the Fermi level: 3.885 states/eV per cell
formation energy without anion corrections: -1.2416 eV per atom

***

No. 9
This record from Alexandria describes a geometry-optimized UCdSn2 structure. The functional is PBE.

a = 4.7660 Å, b = 4.7660 Å, c = 4.3289 Å
α = 90.00°, β = 90.00°, γ = 90.00°
With the nearest neighbours (Å) after each atom.
Space group P4/mmm (No. 123)
Unique sites:
1 U 0.0000 0.0000 0.0000 (multiplicity 1)  8 Sn 3.22, 4 Cd 3.37
2 Cd 0.5000 0.5000 0.0000 (multiplicity 1)  8 Sn 3.22, 4 U 3.37
3 Sn 0.0000 0.5000 0.5000 (multiplicity 2)  4 Cd 3.22, 4 U 3.22, 4 Sn 3.37

Summary:
electronic total energy: -20.55 eV per cell
relative energy among the computed polymorphs: 0.0000 eV/atom
density of states at the Fermi level: 7.153 states/eV per cell

***

No. 10
This record from Alexandria describes a geometry-optimized Ce2MgZr structure. The functional is PBE.

a = 7.5110 Å, b = 7.5110 Å, c = 7.5110 Å
α = 90.00°, β = 90.00°, γ = 90.00°
With the nearest neighbours (Å) after each atom.
Space group Fm-3m (No. 225)
Unique sites:
1 Ce 0.2500 0.2500 0.2500 (multiplicity 8)  4 Mg 3.25, 4 Zr 3.25
2 Mg 0.0000 0.0000 0.0000 (multiplicity 4)  8 Ce 3.25
3 Zr 0.0000 0.0000 0.5000 (multiplicity 4)  8 Ce 3.25

Summary:
electronic total energy: -85.05 eV per cell
relative energy among the computed polymorphs: 0.1319 eV/atom
density of states at the Fermi level: 42.341 states/eV per cell

***

No. 11
This record from Alexandria describes a geometry-optimized ZrPO4F2 structure. The functional is PBE.

a = 5.4569 Å, b = 7.1256 Å, c = 5.0671 Å
α = 90.00°, β = 90.00°, γ = 90.00°
With the nearest neighbours (Å) after each atom.
Space group Pmn2_1 (No. 31)
Unique sites:
1 Zr 0.0000 0.1468 0.0000 (multiplicity 2)  3 O 2.11-2.12, 4 F 2.14-2.21
2 P 0.0000 0.5759 0.6181 (multiplicity 2)  4 O 1.52-1.56
3 O 0.0000 0.3831 0.7482 (multiplicity 2)  1 P 1.52
4 O 0.0000 0.5685 0.3129 (multiplicity 2)  1 P 1.55
5 O 0.2284 0.6942 0.6969 (multiplicity 4)  1 P 1.56
6 F 0.2389 0.9490 0.2157 (multiplicity 4)  2 Zr 2.14-2.21

Summary:
electronic total energy: -115.42 eV per cell
density of states at the Fermi level: 4.293 states/eV per cell
formation energy without anion corrections: -2.5223 eV per atom

***

No. 12
This record from Alexandria describes a geometry-optimized Nd2Dy3Sn4 structure. The functional is PBE.

a = 8.3473 Å, b = 8.3462 Å, c = 8.0483 Å
α = 90.00°, β = 110.42°, γ = 90.00°
With the nearest neighbours (Å) after each atom.
Space group P2_1/c (No. 14)
Unique sites:
1 Nd 0.1927 0.1781 0.0630 (multiplicity 4)  6 Sn 3.20-3.56
2 Dy 0.2469 0.6680 0.2412 (multiplicity 4)  6 Sn 3.05-3.21
3 Dy 0.5000 0.0000 0.5000 (multiplicity 2)  6 Sn 3.17-3.28
4 Sn 0.0824 0.5389 0.8411 (multiplicity 4)  4 Dy 3.05-3.28, 1 Nd 3.25, 1 Sn 3.36
5 Sn 0.4885 0.1347 0.8636 (multiplicity 4)  5 Dy 3.10-3.23, 1 Sn 3.10, 2 Nd 3.20-3.40

Summary:
electronic total energy: -92.92 eV per cell
relative energy among the computed polymorphs: 0.0000 eV/atom
density of states at the Fermi level: 14.056 states/eV per cell